A geometry-optimized RbVPO6 structure, computed with PBE+U.

Geometry as POSCAR:
```
RbVPO6
1.0
-1.0992 4.6561 0.9854
-3.9742 2.0416 -1.9738
-3.4299 -1.8633 4.9792
O P Rb V
6 1 1 1
Direct
0.3738 0.0286 0.6552
0.5975 0.0286 0.3448
0.0286 0.5975 0.6552
0.0286 0.3739 0.3448
0.3739 0.5975 0.3448
0.5975 0.3739 0.6552
0.3333 0.3333 0.5000
0.0000 0.0000 0.0000
0.6666 0.6667 0.5000
```

Properties
Its symmetry is P312. The value obtained for the spin magnetization is 1.0 Bohr magnetons per cell. The crystal system is trigonal. As for the total energy: -6.53 eV per atom.